The following is a DFT calculation (PBE+U) of Mn2Ag3Br3O2 after structural relaxation.

As for the total magnetic moment: 20.0 Bohr magnetons per cell. The value obtained for the raw total energy is -4.584 eV/atom.

It has space group I4/mmm (No. 139), with a = 4.175 Å, b = 4.175 Å, c = 23.286 Å, α = 90.00°, β = 90.00° and γ = 90.00°. Symmetry generates all atoms from Mn at (0.000, 0.500, 0.250), Ag at (0.000, 0.000, 0.000), Ag at (0.000, 0.000, 0.377), Br at (0.000, 0.000, 0.123), Br at (0.000, 0.000, 0.500) and O at (0.000, 0.000, 0.271).